## KBa2CrF8 (PBE with a Hubbard U)

Data for crystalline KBa2CrF8 at its relaxed geometry.

SG: No. 10
total magnetization: 0.249 μB per atom
calculated volume: 216 Å³ per cell
E_tot: -5.573 eV/atom

a = 4.5959 Å, b = 8.3456 Å, c = 5.7005 Å
α = 90.00°, β = 98.96°, γ = 90.00°
With the nearest neighbours (Å) after each atom.
Fractional coordinates of all 12 atoms:
K (0.0000, 0.0000, 0.0000)  8 F 2.73-3.01
Ba (0.5000, 0.2580, 0.5000)  6 F 2.57-2.78
Ba (0.5000, 0.7420, 0.5000)  6 F 2.57-2.78
Cr (0.0000, 0.5000, 0.0000)  6 F 1.94-1.99
F (0.0696, 0.3229, 0.7805)  1 Cr 1.99
F (0.0696, 0.6771, 0.7805)  1 Cr 1.99
F (0.3847, 0.5000, 0.1968)  1 Cr 1.94
F (0.4477, 0.0000, 0.7370)  2 Ba 2.57, 2 K 2.73-2.74, 1 F 2.82
F (0.5523, 0.0000, 0.2630)  2 Ba 2.57, 2 K 2.73-2.74, 1 F 2.82
F (0.6153, 0.5000, 0.8032)  1 Cr 1.94
F (0.9304, 0.3229, 0.2195)  1 Cr 1.99
F (0.9304, 0.6771, 0.2195)  1 Cr 1.99